The following is a DFT calculation (PBE-GGA) of a geometry-optimized LaVB14 structure.

Density of states at the Fermi level (states/eV/f.u.): 3.80
Total energy (eV/cell): -221.510

Unit cell a=5.848 b=7.445 c=7.445 alpha=67.87 beta=66.87 gamma=66.87
Each line ends with the local moment (μB).
Sites, in units of the cell vectors:
La: 0.250 0.381 0.119  0.00
La: 0.750 0.619 0.881  0.00
V: 0.500 0.000 0.500  0.41
V: 0.000 0.000 0.500  0.41
B: 0.667 0.362 0.304  0.00
B: 0.333 0.638 0.696  0.00
B: 0.167 0.804 0.862  0.00
B: 0.833 0.196 0.138  0.00
B: 0.126 0.240 0.508  -0.01
B: 0.874 0.760 0.492  -0.01
B: 0.626 0.008 0.740  -0.01
B: 0.374 0.992 0.260  -0.01
B: 0.084 0.084 0.749  0.00
B: 0.916 0.916 0.251  0.00
B: 0.584 0.249 0.584  0.00
B: 0.416 0.751 0.416  0.00
B: 0.721 0.600 0.280  0.01
B: 0.601 0.400 0.720  0.01
B: 0.221 0.780 0.100  0.01
B: 0.101 0.220 0.900  0.01
B: 0.279 0.400 0.720  0.01
B: 0.399 0.600 0.280  0.01
B: 0.779 0.220 0.900  0.01
B: 0.899 0.780 0.100  0.01
B: 0.326 0.973 0.873  0.00
B: 0.172 0.027 0.127  0.00
B: 0.826 0.373 0.473  0.00
B: 0.672 0.627 0.527  0.00
B: 0.674 0.027 0.127  0.00
B: 0.828 0.973 0.873  0.00
B: 0.174 0.627 0.527  0.00
B: 0.328 0.373 0.473  0.00